(1)
{"formula": "V2InCl2", "functional": "PBE", "state": "optimized geometry", "spacegroup": "I4/mmm (139)", "relative_energy_ev_per_atom": 0.000, "dos_at_fermi_per_ev_cell": 2.104, "crystal_system": "tetragonal", "total_magnetization_mub_per_cell": 0.000, "total_energy_ev_per_atom": -4.962, "e_form_raw_ev_per_atom": -0.028, "cell": [[-2.224, 2.224, 4.970], [2.224, -2.224, 4.970], [2.224, 2.224, -4.970]], "species": ["V", "V", "In", "Cl", "Cl"], "fractional_positions": [[0.093, 0.093, 0.000], [0.907, 0.907, 0.000], [0.500, 0.500, 0.000], [0.250, 0.750, 0.500], [0.750, 0.250, 0.500]]}


(2)
{"formula": "CsTe4", "functional": "PBE", "state": "optimized geometry", "spacegroup": "P-1 (2)", "relative_energy_ev_per_atom": 0.059, "dos_at_fermi_per_ev_cell": 2.534, "crystal_system": "triclinic", "total_magnetization_mub_per_cell": 0.000, "total_energy_ev_per_atom": -3.025, "e_form_raw_ev_per_atom": -0.341, "cell": [[4.473, 0.000, 0.000], [-2.149, 7.541, 0.000], [-2.229, -3.277, 6.924]], "species": ["Cs", "Te", "Te", "Te", "Te"], "fractional_positions": [[0.000, 0.000, 0.000], [0.134, 0.426, 0.848], [0.377, 0.124, 0.634], [0.623, 0.876, 0.366], [0.866, 0.574, 0.152]]}


(3)
{"formula": "V2MoBr", "functional": "PBE", "state": "optimized geometry", "spacegroup": "I-42d (122)", "relative_energy_ev_per_atom": 0.101, "dos_at_fermi_per_ev_cell": 11.719, "crystal_system": "tetragonal", "total_magnetization_mub_per_cell": 0.000, "total_energy_ev_per_atom": -6.785, "e_form_raw_ev_per_atom": 0.901, "cell": [[-3.406, 3.406, 2.814], [3.406, -3.406, 2.814], [3.406, 3.406, -2.814]], "species": ["V", "V", "V", "V", "Mo", "Mo", "Br", "Br"], "fractional_positions": [[0.115, 0.625, 0.990], [0.375, 0.365, 0.490], [0.635, 0.125, 0.010], [0.875, 0.885, 0.510], [0.250, 0.750, 0.500], [0.500, 0.500, 0.000], [0.000, 0.000, 0.000], [0.750, 0.250, 0.500]]}